Entry 1:
This record from Alexandria via LeMat-Bulk describes crystalline LiSm3Pu2Te6 at its relaxed geometry. The functional is PBE.

The space group is C2/m (No. 12) and the conventional cell measures 19.3123, 4.4158 and 8.8619 Å, with angles of 90.00, 103.64 and 90.00 degrees. Symmetry generates all atoms from Li at (0.0000, 0.0000, 0.0000), Sm at (0.0000, 0.0000, 0.5000), Sm at (0.1686, 0.5000, 0.8318), Pu at (0.1656, 0.5000, 0.3310), Te at (0.0014, 0.5000, 0.7592), Te at (0.1619, 0.0000, 0.0793) and Te at (0.1673, 0.0000, 0.5801).

The calculated total energy is -6.57 eV per atom.

Entry 2:
This record from Alexandria via LeMat-Bulk describes crystalline LiSm2Pu3Te6 at its relaxed geometry. The functional is PBE.

The space group is C2/m (No. 12) and the conventional cell measures 19.2763, 4.4242 and 8.8627 Å, with angles of 90.00, 103.17 and 90.00 degrees. Symmetry generates all atoms from Li at (0.0000, 0.0000, 0.0000), Sm at (0.1653, 0.5000, 0.3341), Pu at (0.0000, 0.0000, 0.5000), Pu at (0.1676, 0.5000, 0.8363), Te at (0.0006, 0.5000, 0.7574), Te at (0.1633, 0.0000, 0.0827) and Te at (0.1666, 0.0000, 0.5868).

The calculated total energy is -7.30 eV per atom.

Entry 3:
This record from Alexandria via LeMat-Bulk describes crystalline LiSmPuTl at its relaxed geometry. The functional is PBE.

The space group is F-43m (No. 216) and the conventional cell measures 7.5896, 7.5896 and 7.5896 Å, with angles of 90.00, 90.00 and 90.00 degrees. Symmetry generates all atoms from Li at (0.0000, 0.0000, 0.0000), Sm at (0.2500, 0.2500, 0.7500), Pu at (0.2500, 0.2500, 0.2500) and Tl at (0.0000, 0.0000, 0.5000).

Its formation energy is 35 meV/atom.

Entry 4:
This record from Alexandria via LeMat-Bulk describes crystalline LiPu2Sn9 at its relaxed geometry. The functional is PBE.

The space group is P2/m (No. 10) and the conventional cell measures 8.8746, 4.5742 and 9.3979 Å, with angles of 90.00, 116.09 and 90.00 degrees. Symmetry generates all atoms from Li at (0.0000, 0.0000, 0.0000), Pu at (0.1137, 0.0000, 0.3578), Sn at (0.0000, 0.5000, 0.5000), Sn at (0.1119, 0.5000, 0.8804), Sn at (0.2998, 0.5000, 0.2404), Sn at (0.3058, 0.0000, 0.7449), Sn at (0.5000, 0.0000, 0.5000) and Sn at (0.5000, 0.5000, 0.0000).

Its formation energy is -25 meV/atom.

Please write out number 3 again, unchanged.
This record from Alexandria via LeMat-Bulk describes crystalline LiSmPuTl at its relaxed geometry. The functional is PBE.

The space group is F-43m (No. 216) and the conventional cell measures 7.5896, 7.5896 and 7.5896 Å, with angles of 90.00, 90.00 and 90.00 degrees. Symmetry generates all atoms from Li at (0.0000, 0.0000, 0.0000), Sm at (0.2500, 0.2500, 0.7500), Pu at (0.2500, 0.2500, 0.2500) and Tl at (0.0000, 0.0000, 0.5000).

Its formation energy is 35 meV/atom.

What is the formula in the fourth record?
LiPu2Sn9

Please write out number 2 again, unchanged.
This record from Alexandria via LeMat-Bulk describes crystalline LiSm2Pu3Te6 at its relaxed geometry. The functional is PBE.

The space group is C2/m (No. 12) and the conventional cell measures 19.2763, 4.4242 and 8.8627 Å, with angles of 90.00, 103.17 and 90.00 degrees. Symmetry generates all atoms from Li at (0.0000, 0.0000, 0.0000), Sm at (0.1653, 0.5000, 0.3341), Pu at (0.0000, 0.0000, 0.5000), Pu at (0.1676, 0.5000, 0.8363), Te at (0.0006, 0.5000, 0.7574), Te at (0.1633, 0.0000, 0.0827) and Te at (0.1666, 0.0000, 0.5868).

The calculated total energy is -7.30 eV per atom.